The following is a DFT calculation (PBE-GGA) of a relaxed ScTlP2 crystal.

Its calculated volume is 19.9 A^3/atom. The value obtained for the formation energy is -0.027 eV/atom.

The space group is Fm-3m (No. 225) and the conventional cell measures 6.834, 6.834 and 6.834 Å, with angles of 90.00, 90.00 and 90.00 degrees. The distinct sites, in fractional coordinates, are Sc at (0.000, 0.000, 0.000), Tl at (0.000, 0.000, 0.500) and P at (0.250, 0.250, 0.250).